1.
Material: LaTb4Ga5
Method: DFT, PBE
State: relaxed

As for the formation energy from the elements: -0.585 eV/atom. The value obtained for the total magnetic moment is 0.00 Bohr magnetons per cell. The calculation puts the total energy at -4.44 eV per atom. The density comes out at 7.849 g/cm3.

The space group is P4/mmm (No. 123) and the conventional cell measures 3.614, 3.614 and 18.193 Å, with angles of 90.00, 90.00 and 90.00 degrees. The distinct sites, in fractional coordinates, are La at (0.000, 0.000, 0.000), Tb at (0.000, 0.000, 0.207), Tb at (0.000, 0.000, 0.402), Ga at (0.500, 0.500, 0.112), Ga at (0.500, 0.500, 0.305) and Ga at (0.500, 0.500, 0.500).

2.
Material: LaTb4Ga4
Method: DFT, PBE
State: relaxed

As for the formation energy from the elements: -0.309 eV/atom. The value obtained for the total magnetic moment is 0.00 Bohr magnetons per cell. The calculation puts the total energy at -4.26 eV per atom. The density comes out at 7.427 g/cm3.

The space group is P4_2/n (No. 86, origin choice 2) and the conventional cell measures 9.042, 9.042 and 5.762 Å, with angles of 90.00, 90.00 and 90.00 degrees. The distinct sites, in fractional coordinates, are La at (0.250, 0.250, 0.250), Tb at (0.093, 0.838, 0.618) and Ga at (0.014, 0.126, 0.875).

3.
Material: LaTb3Ga3
Method: DFT, PBE
State: relaxed

As for the formation energy from the elements: -0.441 eV/atom. The value obtained for the total magnetic moment is 0.00 Bohr magnetons per cell. The calculation puts the total energy at -4.43 eV per atom. The density comes out at 7.452 g/cm3.

The space group is P6_3/m (No. 176) and the conventional cell measures 9.3696, 9.3696 and 4.8354 Å, with angles of 90.00, 90.00 and 120.00 degrees. The distinct sites, in fractional coordinates, are La at (0.3333, 0.6667, 0.2500), Tb at (0.0201, 0.2579, 0.7500) and Ga at (0.0571, 0.6090, 0.7500).

4.
Material: La3Tb4Ga4
Method: DFT, PBE
State: relaxed

As for the formation energy from the elements: -0.401 eV/atom. The value obtained for the total magnetic moment is 0.00 Bohr magnetons per cell. The calculation puts the total energy at -4.53 eV per atom. The density comes out at 7.087 g/cm3.

The space group is Immm (No. 71) and the conventional cell measures 4.812, 7.843 and 16.533 Å, with angles of 90.00, 90.00 and 90.00 degrees. The distinct sites, in fractional coordinates, are La at (0.000, 0.000, 0.000), La at (0.000, 0.500, 0.108), Tb at (0.000, 0.289, 0.329), Ga at (0.000, 0.000, 0.209) and Ga at (0.000, 0.178, 0.500).

5.
Material: La2TbGa2
Method: DFT, PBE
State: relaxed

As for the formation energy from the elements: -0.475 eV/atom. The value obtained for the total magnetic moment is 0.00 Bohr magnetons per cell. The value obtained for the offset from the most stable computed form is 0.000 eV/atom. The calculation puts the total energy at -4.58 eV per atom. The density comes out at 6.845 g/cm3.

The space group is Immm (No. 71) and the conventional cell measures 4.838, 6.843 and 8.444 Å, with angles of 90.00, 90.00 and 90.00 degrees. The distinct sites, in fractional coordinates, are La at (0.000, 0.000, 0.194), Tb at (0.000, 0.500, 0.000) and Ga at (0.000, 0.293, 0.500).

6.
Material: La2TbGa
Method: DFT, PBE
State: relaxed

As for the formation energy from the elements: -0.129 eV/atom. The value obtained for the total magnetic moment is 0.17 Bohr magnetons per cell. The value obtained for the offset from the most stable computed form is 0.128 eV/atom. The calculation puts the total energy at -4.51 eV per atom. The density comes out at 6.507 g/cm3.

The space group is R3m (No. 160, hexagonal axes) and the conventional cell measures 3.7509, 3.7509 and 31.8223 Å, with angles of 90.00, 90.00 and 120.00 degrees. The distinct sites, in fractional coordinates, are La at (0.0000, 0.0000, 0.0000), La at (0.0000, 0.0000, 0.1881), Tb at (0.0000, 0.0000, 0.4276) and Ga at (0.0000, 0.0000, 0.5940).

7.
Material: La2TbGa3
Method: DFT, PBE
State: relaxed

As for the formation energy from the elements: -0.578 eV/atom. The value obtained for the total magnetic moment is 0.00 Bohr magnetons per cell. The calculation puts the total energy at -4.51 eV per atom. The density comes out at 7.003 g/cm3.

The space group is P4/mmm (No. 123) and the conventional cell measures 3.693, 3.693 and 11.228 Å, with angles of 90.00, 90.00 and 90.00 degrees. The distinct sites, in fractional coordinates, are La at (0.000, 0.000, 0.172), Tb at (0.000, 0.000, 0.500), Ga at (0.500, 0.500, 0.000) and Ga at (0.500, 0.500, 0.351).

8.
Material: La3Tb2Ga4
Method: DFT, PBE
State: relaxed

As for the formation energy from the elements: -0.467 eV/atom. The value obtained for the total magnetic moment is 0.00 Bohr magnetons per cell. The calculation puts the total energy at -4.48 eV per atom. The density comes out at 6.660 g/cm3.

The space group is C2/m (No. 12) and the conventional cell measures 11.388, 4.568 and 9.715 Å, with angles of 90.00, 90.63 and 90.00 degrees. The distinct sites, in fractional coordinates, are La at (0.000, 0.000, 0.000), La at (0.115, 0.500, 0.384), Tb at (0.186, 0.500, 0.768), Ga at (0.081, 0.000, 0.612) and Ga at (0.199, 0.500, 0.070).

9.
Material: LaTbGa
Method: DFT, PBE
State: relaxed

As for the formation energy from the elements: -0.252 eV/atom. The value obtained for the total magnetic moment is 0.00 Bohr magnetons per cell. The value obtained for the offset from the most stable computed form is 0.133 eV/atom. The calculation puts the total energy at -4.45 eV per atom. The density comes out at 6.533 g/cm3.

The space group is F-43m (No. 216) and the conventional cell measures 7.203, 7.203 and 7.203 Å, with angles of 90.00, 90.00 and 90.00 degrees. The distinct sites, in fractional coordinates, are La at (0.000, 0.000, 0.000), Tb at (0.000, 0.000, 0.500) and Ga at (0.250, 0.250, 0.750).

10.
Material: LaTbGa2
Method: DFT, PBE
State: relaxed

As for the formation energy from the elements: -0.372 eV/atom. The value obtained for the total magnetic moment is 0.00 Bohr magnetons per cell. The value obtained for the offset from the most stable computed form is 0.225 eV/atom. The calculation puts the total energy at -4.28 eV per atom. The density comes out at 6.593 g/cm3.

The space group is R-3m (No. 166, hexagonal axes) and the conventional cell measures 3.7754, 3.7754 and 26.7643 Å, with angles of 90.00, 90.00 and 120.00 degrees. The distinct sites, in fractional coordinates, are La at (0.0000, 0.0000, 0.0000), Tb at (0.0000, 0.0000, 0.5000) and Ga at (0.0000, 0.0000, 0.2462).

11.
Material: LaTb2Ga6
Method: DFT, PBE
State: relaxed

As for the formation energy from the elements: -0.659 eV/atom. The value obtained for the total magnetic moment is 0.00 Bohr magnetons per cell. The value obtained for the offset from the most stable computed form is 0.000 eV/atom. The calculation puts the total energy at -4.25 eV per atom. The density comes out at 7.265 g/cm3.

The space group is P6/mmm (No. 191) and the conventional cell measures 7.3696, 7.3696 and 4.2526 Å, with angles of 90.00, 90.00 and 120.00 degrees. The distinct sites, in fractional coordinates, are La at (0.0000, 0.0000, 0.0000), Tb at (0.3333, 0.6667, 0.0000) and Ga at (0.0000, 0.3355, 0.5000).

12.
Material: LaTbGa2
Method: DFT, PBE
State: relaxed

As for the formation energy from the elements: -0.587 eV/atom. The value obtained for the total magnetic moment is 0.00 Bohr magnetons per cell. The value obtained for the offset from the most stable computed form is 0.010 eV/atom. The calculation puts the total energy at -4.49 eV per atom. The density comes out at 7.309 g/cm3.

The space group is P4/mmm (No. 123) and the conventional cell measures 3.674, 3.674 and 7.359 Å, with angles of 90.00, 90.00 and 90.00 degrees. The distinct sites, in fractional coordinates, are La at (0.000, 0.000, 0.000), Tb at (0.000, 0.000, 0.500) and Ga at (0.500, 0.500, 0.271).